i:
An optimized crystal structure of NaLiCr3, computed with PBE.

Summary:
- Space-group type: Pm-3m
- D(E_F): 6.7 states/eV/cell
- V: 14.6 Å³ per atom

Lattice parameters (Å, degrees): 4.1751 4.1751 4.1751 90.00 90.00 90.00
Site moments in Bohr magnetons follow the coordinates.
Sites, in units of the cell vectors:
Cr: 0.0000 0.5000 0.0000  0.03
Cr: 0.0000 0.0000 0.5000  0.04
Cr: 0.5000 0.0000 0.0000  0.05
Li: 0.0000 0.0000 0.0000  0.00
Na: 0.5000 0.5000 0.5000  0.00

ii:
An optimized crystal structure of NaLiCr3, computed with PBE.

Summary:
- Space-group type: Pm-3m
- D(E_F): 1.9 states/eV/cell
- V: 27.0 Å³ per atom

Lattice parameters (Å, degrees): 5.1297 5.1297 5.1297 90.00 90.00 90.00
Site moments in Bohr magnetons follow the coordinates.
Sites, in units of the cell vectors:
Cr: 0.0000 0.5000 0.0000  4.06
Cr: 0.0000 0.0000 0.5000  4.13
Cr: 0.5000 0.0000 0.0000  3.97
Li: 0.5000 0.5000 0.5000  -0.02
Na: 0.0000 0.0000 0.0000  0.04

On energetic grounds, ii is preferred over the next structure by 0.094 eV/atom.